Density functional theory data (GGA-PBE) for crystalline HoBC at its relaxed geometry.

Results
Crystal system ... orthorhombic
Density of states at the Fermi level ... 0.821 states/eV/f.u.
Calculated formation energy ... -0.05 eV per atom
Electronic total energy ... -6.880 eV/atom
Space group ... Cmmm, No. 65
Total magnetization ... 0.00 μB per cell

Unit cell a=9.911 b=9.911 c=3.513 alpha=90.00 beta=90.00 gamma=160.47
Element x y z (fractional)
Ho 0.159 0.841 0.000
Ho 0.841 0.159 0.000
B 0.276 0.724 0.500
B 0.724 0.276 0.500
C 0.352 0.648 0.500
C 0.648 0.352 0.500

Density functional theory data (GGA-PBE) for crystalline DyU4Se7 at its relaxed geometry.

Results
Crystal system ... trigonal
Density of states at the Fermi level ... 16.544 states/eV/f.u.
Electronic total energy ... -7.374 eV/atom
Space group ... P-3m1, No. 164
Formation energy from raw total energies ... -1.19 eV per atom
Total magnetization ... 10.17 μB per cell

Unit cell a=4.041 b=4.041 c=23.901 alpha=90.00 beta=90.00 gamma=120.00
Element x y z (fractional)
Dy 0.000 0.000 0.000
U 0.333 0.667 0.144
U 0.333 0.667 0.428
U 0.667 0.333 0.572
U 0.667 0.333 0.856
Se 0.000 0.000 0.210
Se 0.000 0.000 0.500
Se 0.000 0.000 0.790
Se 0.333 0.667 0.639
Se 0.333 0.667 0.930
Se 0.667 0.333 0.070
Se 0.667 0.333 0.361

Density functional theory data (GGA-PBE) for crystalline B2PRh at its relaxed geometry.

Results
Crystal system ... tetragonal
Density of states at the Fermi level ... 0.000 states/eV/f.u.
Calculated formation energy ... 0.07 eV per atom
Electronic total energy ... -6.459 eV/atom
Space group ... I-42d, No. 122
Total magnetization ... 0.00 μB per cell

Unit cell a=5.664 b=5.664 c=5.664 alpha=131.29 beta=131.29 gamma=71.35
Element x y z (fractional)
B 0.107 0.625 0.982
B 0.375 0.357 0.482
B 0.643 0.125 0.018
B 0.875 0.893 0.518
P 0.000 0.000 0.000
P 0.750 0.250 0.500
Rh 0.250 0.750 0.500
Rh 0.500 0.500 0.000

Density functional theory data (GGA-PBE) for crystalline CaCeMg14 at its relaxed geometry.

Results
Crystal system ... hexagonal
Density of states at the Fermi level ... 12.452 states/eV/f.u.
Calculated formation energy ... 0.03 eV per atom
Electronic total energy ... -1.859 eV/atom
Space group ... P-6m2, No. 187
Total magnetization ... 1.16 μB per cell

Unit cell a=6.652 b=6.652 c=10.410 alpha=90.00 beta=90.00 gamma=120.00
Element x y z (fractional)
Ca 0.000 0.000 0.000
Ce 0.000 0.000 0.500
Mg 0.006 0.503 0.000
Mg 0.011 0.506 0.500
Mg 0.171 0.342 0.251
Mg 0.171 0.342 0.749
Mg 0.171 0.829 0.251
Mg 0.171 0.829 0.749
Mg 0.494 0.506 0.500
Mg 0.494 0.989 0.500
Mg 0.497 0.503 0.000
Mg 0.497 0.994 0.000
Mg 0.658 0.829 0.251
Mg 0.658 0.829 0.749
Mg 0.667 0.333 0.256
Mg 0.667 0.333 0.744

Density functional theory data (GGA-PBE) for crystalline Zn3C at its relaxed geometry.

Results
Crystal system ... trigonal
Density of states at the Fermi level ... 0.672 states/eV/f.u.
Calculated formation energy ... 1.16 eV per atom
Electronic total energy ... -2.106 eV/atom
Space group ... R-3m, No. 166
Total magnetization ... 0.00 μB per cell

Unit cell a=4.633 b=4.633 c=4.633 alpha=115.29 beta=115.29 gamma=115.29
Element x y z (fractional)
Zn 0.000 0.500 0.500
Zn 0.500 0.000 0.500
Zn 0.500 0.500 0.000
C 0.000 0.000 0.000

Density functional theory data (GGA-PBE) for crystalline K2TaHg at its relaxed geometry.

Results
Crystal system ... orthorhombic
Density of states at the Fermi level ... 3.778 states/eV/f.u.
Calculated formation energy ... 0.90 eV per atom
Electronic total energy ... -2.687 eV/atom
Space group ... Imm2, No. 44
Total magnetization ... 1.47 μB per cell

Unit cell a=7.586 b=7.586 c=7.586 alpha=157.09 beta=129.16 gamma=56.46
Element x y z (fractional)
K 0.000 0.000 0.000
K 0.703 0.203 0.500
Ta 0.277 0.777 0.500
Hg 0.459 0.459 0.000

Density functional theory data (GGA-PBE) for crystalline GdLu2Os at its relaxed geometry.

Results
Crystal system ... cubic
Density of states at the Fermi level ... 5.054 states/eV/f.u.
Calculated formation energy ... 0.05 eV per atom
Electronic total energy ... -8.537 eV/atom
Space group ... Fm-3m, No. 225
Total magnetization ... 7.20 μB per cell

Unit cell a=5.033 b=5.033 c=5.033 alpha=60.00 beta=60.00 gamma=60.00
Element x y z (fractional)
Gd 0.000 0.000 0.000
Lu 0.250 0.250 0.250
Lu 0.750 0.750 0.750
Os 0.500 0.500 0.500

Density functional theory data (GGA-PBE) for crystalline Al2SnF at its relaxed geometry.

Results
Crystal system ... cubic
Density of states at the Fermi level ... 1.300 states/eV/f.u.
Electronic total energy ... -3.841 eV/atom
Space group ... Fm-3m, No. 225
Formation energy from raw total energies ... -0.50 eV per atom
Total magnetization ... 0.00 μB per cell

Unit cell a=4.654 b=4.654 c=4.654 alpha=60.00 beta=60.00 gamma=60.00
Element x y z (fractional)
Al 0.250 0.250 0.250
Al 0.750 0.750 0.750
Sn 0.000 0.000 0.000
F 0.500 0.500 0.500

Density functional theory data (GGA-PBE) for crystalline Y3Si2SnPt9 at its relaxed geometry.

Results
Crystal system ... trigonal
Density of states at the Fermi level ... 8.038 states/eV/f.u.
Electronic total energy ... -6.695 eV/atom
Space group ... P-3m1, No. 164
Formation energy from raw total energies ... -0.79 eV per atom
Total magnetization ... 0.00 μB per cell

Unit cell a=5.662 b=5.662 c=11.172 alpha=90.00 beta=90.00 gamma=120.00
Element x y z (fractional)
Y 0.000 0.000 0.000
Y 0.333 0.667 0.593
Y 0.667 0.333 0.407
Si 0.333 0.667 0.158
Si 0.667 0.333 0.842
Sn 0.000 0.000 0.500
Pt 0.000 0.500 0.000
Pt 0.167 0.333 0.311
Pt 0.167 0.833 0.311
Pt 0.333 0.167 0.689
Pt 0.500 0.000 0.000
Pt 0.500 0.500 0.000
Pt 0.667 0.833 0.311
Pt 0.833 0.167 0.689
Pt 0.833 0.667 0.689

Density functional theory data (GGA-PBE) for crystalline SrTbZnGe at its relaxed geometry.

Results
Crystal system ... cubic
Density of states at the Fermi level ... 3.407 states/eV/f.u.
Calculated formation energy ... -0.37 eV per atom
Electronic total energy ... -3.425 eV/atom
Space group ... F-43m, No. 216
Total magnetization ... 0.00 μB per cell

Unit cell a=5.238 b=5.238 c=5.238 alpha=60.00 beta=60.00 gamma=60.00
Element x y z (fractional)
Sr 0.000 0.000 0.000
Tb 0.500 0.500 0.500
Zn 0.250 0.250 0.250
Ge 0.750 0.750 0.750

Density functional theory data (GGA-PBE) for crystalline La3Nd3TlGa2 at its relaxed geometry.

Results
Crystal system ... hexagonal
Density of states at the Fermi level ... 7.972 states/eV/f.u.
Calculated formation energy ... -0.34 eV per atom
Electronic total energy ... -4.505 eV/atom
Space group ... P-62m, No. 189
Total magnetization ... 0.00 μB per cell

Unit cell a=8.368 b=8.368 c=4.568 alpha=90.00 beta=90.00 gamma=120.00
Element x y z (fractional)
La 0.000 0.718 0.000
La 0.282 0.282 0.000
La 0.718 0.000 0.000
Nd 0.000 0.412 0.500
Nd 0.412 0.000 0.500
Nd 0.588 0.588 0.500
Tl 0.000 0.000 0.500
Ga 0.333 0.667 0.000
Ga 0.667 0.333 0.000

Density functional theory data (GGA-PBE) for crystalline Li2ZrIn2 at its relaxed geometry.

Results
Crystal system ... tetragonal
Density of states at the Fermi level ... 3.496 states/eV/f.u.
Calculated formation energy ... -0.10 eV per atom
Electronic total energy ... -3.672 eV/atom
Space group ... P4/mbm, No. 127
Total magnetization ... 0.00 μB per cell

Unit cell a=8.122 b=8.122 c=3.048 alpha=90.00 beta=90.00 gamma=90.00
Element x y z (fractional)
Li 0.158 0.342 0.000
Li 0.342 0.842 0.000
Li 0.658 0.158 0.000
Li 0.842 0.658 0.000
Zr 0.000 0.000 0.500
Zr 0.500 0.500 0.500
In 0.142 0.642 0.500
In 0.358 0.142 0.500
In 0.642 0.858 0.500
In 0.858 0.358 0.500

Density functional theory data (GGA-PBE) for crystalline ZrPb2W at its relaxed geometry.

Results
Crystal system ... orthorhombic
Density of states at the Fermi level ... 2.654 states/eV/f.u.
Calculated formation energy ... 0.35 eV per atom
Electronic total energy ... -6.882 eV/atom
Space group ... Cmm2, No. 35
Total magnetization ... 0.00 μB per cell

Unit cell a=3.130 b=3.130 c=10.858 alpha=90.00 beta=90.00 gamma=109.69
Element x y z (fractional)
Zr 0.000 0.000 0.000
Pb 0.000 0.000 0.412
Pb 0.500 0.500 0.749
W 0.500 0.500 0.192